Entry 1:
# Rh2Cl (PBE, relaxed)
# spin magnetization: 0.00 μB/f.u.
# E: -59.11 eV for the cell shown
# E above lowest polymorph: 1.107 eV/f.u.
# formation energy from raw total energies: 171 kJ/mol of formula units
# ρ: 7.55 g cm⁻³
data_Rh2Cl
_space_group_name_H-M_alt 'P 63/m m c'
_space_group_IT_number 194
_space_group_name_Hall '-P 6c 2c'
_cell_length_a 5.9079
_cell_length_b 5.9079
_cell_length_c 7.0204
_cell_angle_alpha 90.00
_cell_angle_beta 90.00
_cell_angle_gamma 120.00
loop_
_atom_site_label
_atom_site_type_symbol
_atom_site_fract_x
_atom_site_fract_y
_atom_site_fract_z
Rh1 Rh 0.0000 0.0000 0.0000
Rh2 Rh 0.1769 0.3538 0.2500
Cl1 Cl 0.3333 0.6667 0.5210



Entry 2:
# RhCl (PBE, relaxed)
# spin magnetization: 0.00 μB/f.u.
# E: -17.85 eV for the cell shown
# formation energy from raw total energies: 26 kJ/mol of formula units
# ρ: 6.18 g cm⁻³
data_RhCl
_space_group_name_H-M_alt 'P 4/n m m'
_space_group_IT_number 129
_cell_length_a 3.0712
_cell_length_b 3.0712
_cell_length_c 7.8821
_cell_angle_alpha 90.00
_cell_angle_beta 90.00
_cell_angle_gamma 90.00
loop_
_space_group_symop_operation_xyz
'x,y,z'
'-x,-y,-z'
'-y+1/2,x,z'
'y+1/2,-x,-z'
'-x+1/2,-y+1/2,z'
'x+1/2,y+1/2,-z'
'y,-x+1/2,z'
'-y,x+1/2,-z'
'x+1/2,-y,-z'
'-x+1/2,y,z'
'-y,-x,-z'
'y,x,z'
'-x,y+1/2,-z'
'x,-y+1/2,z'
'y+1/2,x+1/2,-z'
'-y+1/2,-x+1/2,z'
loop_
_atom_site_label
_atom_site_type_symbol
_atom_site_fract_x
_atom_site_fract_y
_atom_site_fract_z
Rh1 Rh 0.2500 0.2500 0.0938
Cl1 Cl 0.2500 0.2500 0.7070



Entry 3:
# RhCl2 (PBE, relaxed)
# spin magnetization: 0.00 μB/f.u.
# E: -42.79 eV for the cell shown
# formation energy from raw total energies: 33 kJ/mol of formula units
# ρ: 5.18 g cm⁻³
data_RhCl2
_space_group_name_H-M_alt 'I 4/m c m'
_space_group_IT_number 140
_space_group_name_Hall '-I 4 2c'
_cell_length_a 6.1184
_cell_length_b 6.1184
_cell_length_c 5.9554
_cell_angle_alpha 90.00
_cell_angle_beta 90.00
_cell_angle_gamma 90.00
loop_
_atom_site_label
_atom_site_type_symbol
_atom_site_fract_x
_atom_site_fract_y
_atom_site_fract_z
Rh1 Rh 0.0000 0.0000 0.2500
Cl1 Cl 0.2223 0.2777 0.0000



Entry 4:
# Rh2Cl (PBE, relaxed)
# spin magnetization: 0.00 μB/f.u.
# E: -63.27 eV for the cell shown
# E above lowest polymorph: 0.068 eV/f.u.
# formation energy from raw total energies: 71 kJ/mol of formula units
# ρ: 8.32 g cm⁻³
data_Rh2Cl
_space_group_name_H-M_alt 'C 1 2/m 1'
_space_group_IT_number 12
_space_group_name_Hall '-C 2y'
_cell_length_a 13.2037
_cell_length_b 2.8976
_cell_length_c 5.5207
_cell_angle_alpha 90.00
_cell_angle_beta 114.27
_cell_angle_gamma 90.00
loop_
_atom_site_label
_atom_site_type_symbol
_atom_site_fract_x
_atom_site_fract_y
_atom_site_fract_z
Rh1 Rh 0.0486 0.0000 0.2590
Rh2 Rh 0.1087 0.5000 0.7084
Cl1 Cl 0.1921 0.5000 0.1830



Entry 5:
# Rh3Cl4 (PBE, relaxed)
# spin magnetization: 0.60 μB/f.u.
# E: -61.00 eV for the cell shown
# E above lowest polymorph: 0.000 eV/f.u.
# formation energy from raw total energies: -102 kJ/mol of formula units
# ρ: 5.24 g cm⁻³
data_Rh3Cl4
_space_group_name_H-M_alt 'P m -3 n'
_space_group_IT_number 223
_space_group_name_Hall '-P 4n 2 3'
_cell_length_a 6.5862
_cell_length_b 6.5862
_cell_length_c 6.5862
_cell_angle_alpha 90.00
_cell_angle_beta 90.00
_cell_angle_gamma 90.00
loop_
_atom_site_label
_atom_site_type_symbol
_atom_site_fract_x
_atom_site_fract_y
_atom_site_fract_z
Rh1 Rh 0.0000 0.2500 0.5000
Cl1 Cl 0.2500 0.2500 0.2500



Entry 6:
# RhCl (PBE, relaxed)
# spin magnetization: 0.00 μB/f.u.
# E: -34.82 eV for the cell shown
# formation energy from raw total energies: 48 kJ/mol of formula units
# ρ: 5.37 g cm⁻³
data_RhCl
_space_group_name_H-M_alt 'P 42/m n m'
_space_group_IT_number 136
_space_group_name_Hall '-P 4n 2n'
_cell_length_a 7.2453
_cell_length_b 7.2453
_cell_length_c 3.2602
_cell_angle_alpha 90.00
_cell_angle_beta 90.00
_cell_angle_gamma 90.00
loop_
_atom_site_label
_atom_site_type_symbol
_atom_site_fract_x
_atom_site_fract_y
_atom_site_fract_z
Rh1 Rh 0.1188 0.1188 0.0000
Cl1 Cl 0.2089 0.7911 0.0000



Entry 7:
# RhCl7 (PBE, relaxed)
# spin magnetization: 5.00 μB/f.u.
# E: -53.76 eV for the cell shown
# formation energy from raw total energies: 660 kJ/mol of formula units
# ρ: 3.55 g cm⁻³
data_RhCl7
_space_group_name_H-M_alt 'F m -3 m'
_space_group_IT_number 225
_space_group_name_Hall '-F 4 2 3'
_cell_length_a 8.6920
_cell_length_b 8.6920
_cell_length_c 8.6920
_cell_angle_alpha 90.00
_cell_angle_beta 90.00
_cell_angle_gamma 90.00
loop_
_atom_site_label
_atom_site_type_symbol
_atom_site_fract_x
_atom_site_fract_y
_atom_site_fract_z
Rh1 Rh 0.0000 0.0000 0.0000
Cl1 Cl 0.0000 0.0000 0.5000
Cl2 Cl 0.0000 0.2500 0.2500



Entry 8:
# RhCl (PBE, relaxed)
# spin magnetization: 0.38 μB/f.u.
# E: -32.75 eV for the cell shown
# formation energy from raw total energies: 98 kJ/mol of formula units
# ρ: 6.86 g cm⁻³
data_RhCl
_space_group_name_H-M_alt 'F m -3 m'
_space_group_IT_number 225
_space_group_name_Hall '-F 4 2 3'
_cell_length_a 5.1173
_cell_length_b 5.1173
_cell_length_c 5.1173
_cell_angle_alpha 90.00
_cell_angle_beta 90.00
_cell_angle_gamma 90.00
loop_
_atom_site_label
_atom_site_type_symbol
_atom_site_fract_x
_atom_site_fract_y
_atom_site_fract_z
Rh1 Rh 0.0000 0.0000 0.0000
Cl1 Cl 0.0000 0.0000 0.5000